Run P
Computed, not measured: an optimized crystal structure of DyTmP at the PBE level of DFT.

Geometry as extended XYZ:
```
6
Lattice="4.1653 0.0000 0.0000 0.0000 4.1653 0.0000 0.0000 0.0000 7.8527" Properties=species:S:1:pos:R:3 pbc="T T T"
Dy 1.0413 3.1240 0.0000
Dy 3.1240 1.0413 0.0000
Tm 1.0413 1.0413 2.8290
Tm 3.1240 3.1240 5.0237
P 1.0413 1.0413 5.6400
P 3.1240 3.1240 2.2127
```

## Properties
Symmetry   P4/nmm (129)

Run Q
Computed, not measured: an optimized crystal structure of DyTmP at the PBE level of DFT.

Geometry as extended XYZ:
```
3
Lattice="3.8698 0.0000 0.0000 -1.9349 3.3514 0.0000 0.0000 0.0000 6.2848" Properties=species:S:1:pos:R:3 pbc="T T T"
Dy 0.0000 0.0000 0.0000
Tm 0.0000 2.2342 3.1524
P 1.9349 1.1171 1.6008
```

## Properties
Symmetry   P3m1 (156)

Which of them is the most stable? Correct choice: run Q.

Run P
Computed, not measured: an optimized crystal structure of DyTmP2 at the PBE level of DFT.

Geometry as extended XYZ:
```
4
Lattice="1.9689 1.1368 6.7672 -1.9689 1.1368 6.7672 0.0000 -2.2735 6.7672" Properties=species:S:1:pos:R:3 pbc="T T T"
Dy 0.0000 0.0000 0.0000
Tm 0.0000 0.0000 3.4784
P 0.0000 0.0000 11.8429
P 0.0000 0.0000 15.3191
```

## Properties
Symmetry   R3m (160)

Run Q
Computed, not measured: an optimized crystal structure of DyTmP2 at the PBE level of DFT.

Geometry as extended XYZ:
```
8
Lattice="-2.8112 2.8112 5.6274 2.8112 -2.8112 5.6274 2.8112 2.8112 -5.6274" Properties=species:S:1:pos:R:3 pbc="T T T"
Dy 2.8112 1.4056 1.4069
Dy 0.0000 1.4056 4.2206
Tm 2.8112 -1.4056 4.2206
Tm 0.0000 4.2167 1.4069
P 2.8112 1.4056 -1.4239
P 0.0000 1.4056 1.3898
P 2.8112 1.4056 4.2376
P 0.0000 1.4056 7.0513
```

## Properties
Symmetry   I4_1/amd (141)

Which of them is the most stable? Correct choice: run Q.

Run P
Computed, not measured: an optimized crystal structure of DyZrP2 at the PBE level of DFT.

Geometry as extended XYZ:
```
4
Lattice="3.3311 -1.9210 0.0000 3.3311 1.9210 0.0000 -2.2105 0.0000 6.3739" Properties=species:S:1:pos:R:3 pbc="T T T"
Dy 0.0000 0.0000 0.0000
Zr 2.2258 0.0000 3.1870
P 0.0077 0.0000 4.6916
P 4.4438 0.0000 1.6823
```

## Properties
Symmetry   C2/m (12)

Run Q
Computed, not measured: an optimized crystal structure of DyZrP2 at the PBE level of DFT.

Geometry as extended XYZ:
```
4
Lattice="1.8972 1.0954 6.6583 -1.8972 1.0954 6.6583 0.0000 -2.1907 6.6583" Properties=species:S:1:pos:R:3 pbc="T T T"
Dy 0.0000 0.0000 0.0000
Zr 0.0000 0.0000 3.4904
P 0.0000 0.0000 11.6176
P 0.0000 0.0000 15.1915
```

## Properties
Symmetry   R3m (160)

Which of them is the most stable? Correct choice: run P.

Run P
Computed, not measured: an optimized crystal structure of DyPa at the PBE level of DFT.

Geometry as extended XYZ:
```
2
Lattice="3.3061 0.0000 0.0000 -1.6531 2.8632 0.0000 0.0000 0.0000 5.7815" Properties=species:S:1:pos:R:3 pbc="T T T"
Dy 0.0000 0.0000 0.0000
Pa 1.6531 0.9544 2.8908
```

## Properties
Symmetry   P-6m2 (187)

Run Q
Computed, not measured: an optimized crystal structure of DyPa at the PBE level of DFT.

Geometry as extended XYZ:
```
4
Lattice="3.3506 0.0000 0.0000 0.0000 4.7165 0.0000 0.0000 0.0000 7.0124" Properties=species:S:1:pos:R:3 pbc="T T T"
Dy 0.8376 1.1791 0.9119
Dy 2.5129 3.5373 6.1005
Pa 0.8376 1.1791 4.2829
Pa 2.5129 3.5373 2.7295
```

## Properties
Symmetry   Pmmn (59)

Which of them is the most stable? Correct choice: run Q.

Run P
Computed, not measured: an optimized crystal structure of DyPaPd4 at the PBE level of DFT.

Geometry as extended XYZ:
```
12
Lattice="2.0717 -10.0368 0.0000 2.0717 10.0368 0.0000 0.0000 0.0000 5.7379" Properties=species:S:1:pos:R:3 pbc="T T T"
Dy 2.0717 5.5098 4.3034
Dy 2.0717 -5.5098 1.4345
Pa 2.0717 8.4395 1.4345
Pa 2.0717 -8.4395 4.3034
Pd 2.0717 8.6225 4.3034
Pd 2.0717 2.9242 0.0458
Pd 2.0717 2.9242 2.8232
Pd 2.0717 0.0000 0.0000
Pd 2.0717 0.0000 2.8690
Pd 2.0717 -2.9242 2.9147
Pd 2.0717 -2.9242 5.6922
Pd 2.0717 -8.6225 1.4345
```

## Properties
Symmetry   Cmcm (63)

Run Q
Computed, not measured: an optimized crystal structure of DyPaPd4 at the PBE level of DFT.

Geometry as extended XYZ:
```
6
Lattice="0.0000 3.8465 3.8465 3.8465 0.0000 3.8465 3.8465 3.8465 0.0000" Properties=species:S:1:pos:R:3 pbc="T T T"
Dy 0.0000 0.0000 0.0000
Pa 5.7698 5.7698 5.7698
Pd 2.8850 2.8850 2.8850
Pd 4.8080 4.8080 2.8850
Pd 4.8080 2.8850 4.8080
Pd 2.8850 4.8080 4.8080
```

## Properties
Symmetry   F-43m (216)

Which of them is the most stable? Correct choice: run P.

Run P
Computed, not measured: an optimized crystal structure of DyPaPd2 at the PBE level of DFT.

Geometry as extended XYZ:
```
4
Lattice="0.0000 3.5178 3.5178 3.5178 0.0000 3.5178 3.5178 3.5178 0.0000" Properties=species:S:1:pos:R:3 pbc="T T T"
Dy 0.0000 0.0000 0.0000
Pa 3.5178 3.5178 3.5178
Pd 1.7589 1.7589 1.7589
Pd 5.2766 5.2766 5.2766
```

## Properties
Symmetry   Fm-3m (225)

Run Q
Computed, not measured: an optimized crystal structure of DyPaPd2 at the PBE level of DFT.

Geometry as extended XYZ:
```
4
Lattice="3.4050 0.0000 0.0000 0.0000 3.4050 0.0000 0.0000 0.0000 7.4278" Properties=species:S:1:pos:R:3 pbc="T T T"
Dy 0.0000 0.0000 0.0000
Pa 0.0000 0.0000 3.7139
Pd 1.7025 1.7025 1.8206
Pd 1.7025 1.7025 5.6072
```

## Properties
Symmetry   P4/mmm (123)

Run R
Computed, not measured: an optimized crystal structure of DyPaPd2 at the PBE level of DFT.

Geometry as extended XYZ:
```
4
Lattice="1.9500 1.1259 7.2457 -1.9500 1.1259 7.2457 0.0000 -2.2517 7.2457" Properties=species:S:1:pos:R:3 pbc="T T T"
Dy 0.0000 0.0000 0.0000
Pa 0.0000 0.0000 10.8685
Pd 0.0000 0.0000 5.3272
Pd 0.0000 0.0000 16.4098
```

## Properties
Symmetry   R-3m (166)

Which of them is the most stable? Correct choice: run Q.

Run P
Computed, not measured: an optimized crystal structure of Dy2PaPd at the PBE level of DFT.

Geometry as extended XYZ:
```
4
Lattice="3.4713 0.0000 0.0000 0.0000 3.4713 0.0000 0.0000 0.0000 8.1590" Properties=species:S:1:pos:R:3 pbc="T T T"
Dy 0.0000 0.0000 1.7482
Dy 0.0000 0.0000 6.4108
Pa 1.7356 1.7356 4.0795
Pd 1.7356 1.7356 0.0000
```

## Properties
Symmetry   P4/mmm (123)

Run Q
Computed, not measured: an optimized crystal structure of Dy2PaPd at the PBE level of DFT.

Geometry as extended XYZ:
```
4
Lattice="1.6298 0.9410 10.8858 -1.6298 0.9410 10.8858 0.0000 -1.8819 10.8858" Properties=species:S:1:pos:R:3 pbc="T T T"
Dy 0.0000 0.0000 3.2028
Dy 0.0000 0.0000 29.4545
Pa 0.0000 0.0000 0.0000
Pd 0.0000 0.0000 16.3287
```

## Properties
Symmetry   R-3m (166)

Which of them is the most stable? Correct choice: run P.

Run P
Computed, not measured: an optimized crystal structure of Pr2DyPa at the PBE level of DFT.

Geometry as extended XYZ:
```
4
Lattice="3.4634 0.0000 0.0000 0.0000 3.4634 0.0000 0.0000 0.0000 10.5440" Properties=species:S:1:pos:R:3 pbc="T T T"
Pr 0.0000 0.0000 2.4527
Pr 0.0000 0.0000 8.0913
Dy 1.7317 1.7317 5.2720
Pa 1.7317 1.7317 0.0000
```

## Properties
Symmetry   P4/mmm (123)

Run Q
Computed, not measured: an optimized crystal structure of Pr2DyPa at the PBE level of DFT.

Geometry as extended XYZ:
```
4
Lattice="1.6986 0.9807 12.5467 -1.6986 0.9807 12.5467 0.0000 -1.9614 12.5467" Properties=species:S:1:pos:R:3 pbc="T T T"
Pr 0.0000 0.0000 3.2437
Pr 0.0000 0.0000 34.3963
Dy 0.0000 0.0000 18.8200
Pa 0.0000 0.0000 0.0000
```

## Properties
Symmetry   R-3m (166)

Which of them is the most stable? Correct choice: run P.